# K2Ta2S5 | Alexandria | GGA-PBE | relaxed
data_K2Ta2S5
_chemical_formula_sum 'K4 Ta4 S10'
_cell_length_a 12.9340
_cell_length_b 4.9337
_cell_length_c 7.9222
_cell_angle_alpha 90.00
_cell_angle_beta 106.79
_cell_angle_gamma 90.00
_space_group_name_H-M_alt 'C 1 2/m 1'
_space_group_IT_number 12
loop_
_space_group_symop_operation_xyz
'x,y,z'
'-x,-y,-z'
'-x,y,-z'
'x,-y,z'
'x+1/2,y+1/2,z'
'-x+1/2,-y+1/2,-z'
'-x+1/2,y+1/2,-z'
'x+1/2,-y+1/2,z'
loop_
_atom_site_label
_atom_site_type_symbol
_atom_site_fract_x
_atom_site_fract_y
_atom_site_fract_z
K1 K 0.0953 0.0000 0.3264
Ta1 Ta 0.1656 0.5000 0.9092
S1 S 0.0000 0.5000 0.0000
S2 S 0.1498 0.0000 0.9204
S3 S 0.1498 0.5000 0.6172
# - V: 484 Å³/cell
# - Formation energy without anion corrections: -1.009 eV per atom
# - Crystal system: monoclinic

# Sm3Er8Th4 | Alexandria | GGA-PBE | relaxed
data_Sm3Er8Th4
_chemical_formula_sum 'Sm6 Er16 Th8'
_cell_length_a 13.2437
_cell_length_b 12.9024
_cell_length_c 6.7125
_cell_angle_alpha 90.00
_cell_angle_beta 120.08
_cell_angle_gamma 90.00
_space_group_name_H-M_alt 'C 1 2/m 1'
_space_group_IT_number 12
loop_
_space_group_symop_operation_xyz
'x,y,z'
'-x,-y,-z'
'-x,y,-z'
'x,-y,z'
'x+1/2,y+1/2,z'
'-x+1/2,-y+1/2,-z'
'-x+1/2,y+1/2,-z'
'x+1/2,-y+1/2,z'
loop_
_atom_site_label
_atom_site_type_symbol
_atom_site_fract_x
_atom_site_fract_y
_atom_site_fract_z
Sm1 Sm 0.0000 0.0000 0.0000
Sm2 Sm 0.2500 0.2500 0.0000
Er1 Er 0.0000 0.1424 0.5000
Er2 Er 0.0000 0.2445 0.0000
Er3 Er 0.2372 0.0000 0.5020
Er4 Er 0.2405 0.0000 0.9852
Th1 Th 0.0000 0.5000 0.0000
Th2 Th 0.0000 0.5000 0.5000
Th3 Th 0.2500 0.2500 0.5000
# - V: 992 Å³/cell
# - Energy relative to the elements: 0.424 eV per atom
# - Crystal system: monoclinic

# BaReN3 | Alexandria | GGA-PBE | relaxed
data_BaReN3
_chemical_formula_sum 'Ba2 Re2 N6'
_cell_length_a 3.6509
_cell_length_b 3.6509
_cell_length_c 14.0809
_cell_angle_alpha 90.00
_cell_angle_beta 90.00
_cell_angle_gamma 120.00
_space_group_name_H-M_alt 'P 63/m m c'
_space_group_IT_number 194
_space_group_name_Hall '-P 6c 2c'
loop_
_atom_site_label
_atom_site_type_symbol
_atom_site_fract_x
_atom_site_fract_y
_atom_site_fract_z
Ba1 Ba 0.0000 0.0000 0.0000
Re1 Re 0.3333 0.6667 0.2500
N1 N 0.0000 0.0000 0.2500
N2 N 0.3333 0.6667 0.1179
# - V: 163 Å³/cell
# - Formation energy without anion corrections: 0.281 eV per atom
# - Crystal system: hexagonal

# AgHg3Ge | Alexandria | GGA-PBE | relaxed
data_AgHg3Ge
_chemical_formula_sum 'Ag1 Hg3 Ge1'
_cell_length_a 5.3062
_cell_length_b 5.3062
_cell_length_c 5.3062
_cell_angle_alpha 90.00
_cell_angle_beta 90.00
_cell_angle_gamma 90.00
_space_group_name_H-M_alt 'P m -3 m'
_space_group_IT_number 221
_space_group_name_Hall '-P 4 2 3'
loop_
_atom_site_label
_atom_site_type_symbol
_atom_site_fract_x
_atom_site_fract_y
_atom_site_fract_z
Ag1 Ag 0.0000 0.0000 0.0000
Hg1 Hg 0.0000 0.0000 0.5000
Ge1 Ge 0.5000 0.5000 0.5000
# - V: 149 Å³/cell
# - Distance to the lowest polymorph of the same formula: 0.148 eV per atom
# - Energy relative to the elements: 0.568 eV per atom
# - Crystal system: cubic

# Tb5Dy3Er2 | Alexandria | GGA-PBE | relaxed
data_Tb5Dy3Er2
_chemical_formula_sum 'Tb20 Dy12 Er8'
_cell_length_a 10.9961
_cell_length_b 17.6064
_cell_length_c 6.7006
_cell_angle_alpha 90.00
_cell_angle_beta 90.00
_cell_angle_gamma 90.00
_space_group_name_H-M_alt 'I b a m'
_space_group_IT_number 72
_space_group_name_Hall '-I 2 2c'
loop_
_atom_site_label
_atom_site_type_symbol
_atom_site_fract_x
_atom_site_fract_y
_atom_site_fract_z
Tb1 Tb 0.0000 0.0000 0.2500
Tb2 Tb 0.0000 0.3177 0.2500
Tb3 Tb 0.1065 0.1703 0.0000
Dy1 Dy 0.0000 0.5000 0.2500
Dy2 Dy 0.2071 0.1696 0.5000
Er1 Er 0.2359 0.4758 0.5000
# - V: 1297 Å³/cell
# - Distance to the lowest polymorph of the same formula: 0.067 eV per atom
# - Energy relative to the elements: 0.270 eV per atom
# - Crystal system: orthorhombic

# TeSeBr2 | Alexandria | GGA-PBE | relaxed
data_TeSeBr2
_chemical_formula_sum 'Te2 Se2 Br4'
_cell_length_a 4.6793
_cell_length_b 4.7867
_cell_length_c 10.7675
_cell_angle_alpha 90.00
_cell_angle_beta 90.00
_cell_angle_gamma 90.00
_space_group_name_H-M_alt 'I m m m'
_space_group_IT_number 71
_space_group_name_Hall '-I 2 2'
loop_
_atom_site_label
_atom_site_type_symbol
_atom_site_fract_x
_atom_site_fract_y
_atom_site_fract_z
Te1 Te 0.0000 0.0000 0.0000
Se1 Se 0.0000 0.0000 0.5000
Br1 Br 0.0000 0.0000 0.2537
# - V: 241 Å³/cell
# - Distance to the lowest polymorph of the same formula: 0.295 eV per atom
# - Formation energy without anion corrections: 0.128 eV per atom
# - Crystal system: orthorhombic

# KRuPbBr6 | Alexandria | GGA-PBE | relaxed
data_KRuPbBr6
_chemical_formula_sum 'K2 Ru2 Pb2 Br12'
_cell_length_a 7.3998
_cell_length_b 7.3998
_cell_length_c 13.5941
_cell_angle_alpha 90.00
_cell_angle_beta 90.00
_cell_angle_gamma 120.00
_space_group_name_H-M_alt 'P -3 1 c'
_space_group_IT_number 163
_space_group_name_Hall '-P 3 2c'
loop_
_atom_site_label
_atom_site_type_symbol
_atom_site_fract_x
_atom_site_fract_y
_atom_site_fract_z
K1 K 0.0000 0.0000 0.0000
Ru1 Ru 0.3333 0.6667 0.2500
Pb1 Pb 0.3333 0.6667 0.7500
Br1 Br 0.0513 0.3937 0.1408
# - V: 645 Å³/cell
# - Formation energy without anion corrections: -0.776 eV per atom
# - Crystal system: trigonal

# NaPmAsPt | Alexandria | GGA-PBE | relaxed
data_NaPmAsPt
_chemical_formula_sum 'Na4 Pm4 As4 Pt4'
_cell_length_a 7.0377
_cell_length_b 7.0377
_cell_length_c 7.0377
_cell_angle_alpha 90.00
_cell_angle_beta 90.00
_cell_angle_gamma 90.00
_space_group_name_H-M_alt 'F -4 3 m'
_space_group_IT_number 216
_space_group_name_Hall 'F -4 2 3'
loop_
_atom_site_label
_atom_site_type_symbol
_atom_site_fract_x
_atom_site_fract_y
_atom_site_fract_z
Na1 Na 0.0000 0.0000 0.0000
Pm1 Pm 0.0000 0.0000 0.5000
As1 As 0.2500 0.2500 0.2500
Pt1 Pt 0.2500 0.2500 0.7500
# - V: 349 Å³/cell
# - Energy relative to the elements: -0.685 eV per atom
# - Crystal system: cubic

# La3DyEr6 | Alexandria | GGA-PBE | relaxed
data_La3DyEr6
_chemical_formula_sum 'La12 Dy4 Er24'
_cell_length_a 11.0575
_cell_length_b 18.9910
_cell_length_c 6.3118
_cell_angle_alpha 90.00
_cell_angle_beta 90.00
_cell_angle_gamma 90.00
_space_group_name_H-M_alt 'C m c 21'
_space_group_IT_number 36
loop_
_space_group_symop_operation_xyz
'x,y,z'
'-x,-y,z+1/2'
'-x,y,z'
'x,-y,z+1/2'
'x+1/2,y+1/2,z'
'-x+1/2,-y+1/2,z+1/2'
'-x+1/2,y+1/2,z'
'x+1/2,-y+1/2,z+1/2'
loop_
_atom_site_label
_atom_site_type_symbol
_atom_site_fract_x
_atom_site_fract_y
_atom_site_fract_z
La1 La 0.0000 0.1112 0.0000
La2 La 0.1733 0.3872 0.6001
Dy1 Dy 0.0000 0.3026 0.9373
Er1 Er 0.0000 0.2246 0.4258
Er2 Er 0.0000 0.4601 0.1817
Er3 Er 0.1667 0.0473 0.5216
Er4 Er 0.2443 0.2111 0.6942
# - V: 1325 Å³/cell
# - Energy relative to the elements: 0.155 eV per atom
# - Crystal system: orthorhombic

# Na3Sb5H12 | Alexandria | GGA-PBE | relaxed
data_Na3Sb5H12
_chemical_formula_sum 'Na24 Sb40 H96'
_cell_length_a 13.6501
_cell_length_b 13.6501
_cell_length_c 13.6501
_cell_angle_alpha 90.00
_cell_angle_beta 90.00
_cell_angle_gamma 90.00
_space_group_name_H-M_alt 'I a -3 d'
_space_group_IT_number 230
_space_group_name_Hall '-I 4bd 2c 3'
loop_
_atom_site_label
_atom_site_type_symbol
_atom_site_fract_x
_atom_site_fract_y
_atom_site_fract_z
Na1 Na 0.0000 0.2500 0.1250
Sb1 Sb 0.0000 0.0000 0.0000
Sb2 Sb 0.0000 0.2500 0.3750
H1 H 0.0511 0.0544 0.6231
# - V: 2543 Å³/cell
# - Calculated total energy: -57.01 eV per formula unit
# - Crystal system: cubic

# RbBaCa2Ag | Alexandria | GGA-PBE | relaxed
data_RbBaCa2Ag
_chemical_formula_sum 'Rb1 Ba1 Ca2 Ag1'
_cell_length_a 6.1262
_cell_length_b 6.1262
_cell_length_c 6.5397
_cell_angle_alpha 90.00
_cell_angle_beta 90.00
_cell_angle_gamma 90.00
_space_group_name_H-M_alt 'P 4/m m m'
_space_group_IT_number 123
_space_group_name_Hall '-P 4 2'
loop_
_atom_site_label
_atom_site_type_symbol
_atom_site_fract_x
_atom_site_fract_y
_atom_site_fract_z
Rb1 Rb 0.0000 0.0000 0.0000
Ba1 Ba 0.5000 0.5000 0.0000
Ca1 Ca 0.0000 0.5000 0.5000
Ag1 Ag 0.5000 0.5000 0.5000
# - V: 245 Å³/cell
# - Energy relative to the elements: -0.014 eV per atom
# - Crystal system: tetragonal

# LiLa2Sm3S6 | Alexandria | GGA-PBE | relaxed
data_LiLa2Sm3S6
_chemical_formula_sum 'Li2 La4 Sm6 S12'
_cell_length_a 6.9743
_cell_length_b 12.1108
_cell_length_c 7.0367
_cell_angle_alpha 90.00
_cell_angle_beta 109.47
_cell_angle_gamma 90.00
_space_group_name_H-M_alt 'C 1 2/m 1'
_space_group_IT_number 12
loop_
_space_group_symop_operation_xyz
'x,y,z'
'-x,-y,-z'
'-x,y,-z'
'x,-y,z'
'x+1/2,y+1/2,z'
'-x+1/2,-y+1/2,-z'
'-x+1/2,y+1/2,-z'
'x+1/2,-y+1/2,z'
loop_
_atom_site_label
_atom_site_type_symbol
_atom_site_fract_x
_atom_site_fract_y
_atom_site_fract_z
Li1 Li 0.0000 0.0000 0.0000
La1 La 0.0000 0.3344 0.0000
Sm1 Sm 0.0000 0.1660 0.5000
Sm2 Sm 0.0000 0.5000 0.5000
S1 S 0.2379 0.0000 0.7487
S2 S 0.2456 0.1616 0.2532
# - V: 560 Å³/cell
# - Formation energy without anion corrections: -1.999 eV per atom
# - Crystal system: monoclinic